## Sr3MnFeO7 (PBE with a Hubbard U)

Data for an optimized crystal structure of Sr3MnFeO7.

abc: 3.906 3.906 10.498
angles: 100.72 100.72 90.00
Last column: magnetic moment on the atom in μB.
Sites, in units of the cell vectors:
Sr1 0.683 0.683 0.366  0.00
O1 0.904 0.404 0.809  -0.06
O2 0.596 0.096 0.193  0.04
Sr2 0.499 0.499 0.999  0.01
Fe1 0.097 0.097 0.193  3.90
O3 0.404 0.904 0.809  -0.06
O4 0.096 0.596 0.193  0.04
O5 0.000 0.000 0.001  0.00
Mn1 0.902 0.902 0.804  3.32
O6 0.194 0.194 0.387  -0.03
Sr3 0.317 0.317 0.635  0.00
O7 0.807 0.807 0.613  -0.07

Output
M_tot: 7.23 μB per formula unit
E_tot: -6.539 eV/atom